[1]
Computed, not measured: an optimized crystal structure of ReAs2 at the PBE level of DFT.

Cell lengths 11.9082, 11.9082, 11.9082 Å; angles 165.23, 165.23, 20.94 degrees
Closest atoms and distances in Å follow each position.
Atoms (fractional coordinates):
Re1 0.7500 0.2500 0.5000  8 As 2.65
Re2 0.0000 0.0000 0.0000  8 As 2.65
As1 0.4350 0.4350 0.0000  4 Re 2.65
As2 0.3150 0.8150 0.5000  4 Re 2.65
As3 0.5650 0.5650 0.0000  4 Re 2.65
As4 0.1850 0.6850 0.5000  4 Re 2.65

Results
* energy relative to the elements: 0.10 eV per atom


[2]
Computed, not measured: an optimized crystal structure of ReAs2 at the PBE level of DFT.

Cell lengths 4.8661, 4.8661, 4.8661 Å; angles 139.01, 139.01, 59.36 degrees
Closest atoms and distances in Å follow each position.
Atoms (fractional coordinates):
Re1 0.0000 0.0000 0.0000  10 As 2.76-2.88
As1 0.3405 0.3405 0.0000  5 As 2.70-2.85, 5 Re 2.76-2.88
As2 0.6595 0.6595 0.0000  5 As 2.70-2.85, 5 Re 2.76-2.88

Results
* energy relative to the elements: 0.50 eV per atom


[3]
Computed, not measured: an optimized crystal structure of ReAs2 at the PBE level of DFT.

Cell lengths 6.4697, 6.4697, 4.7815 Å; angles 90.00, 90.00, 150.85 degrees
Closest atoms and distances in Å follow each position.
Atoms (fractional coordinates):
Re1 0.8892 0.1108 0.2500  6 As 2.58-2.81
Re2 0.1108 0.8892 0.7500  6 As 2.58-2.81
As1 0.2293 0.7707 0.2500  4 Re 2.58-2.81, 2 As 2.71
As2 0.7707 0.2293 0.7500  4 Re 2.58-2.81, 2 As 2.71
As3 0.4436 0.5564 0.7500  2 Re 2.65, 4 As 2.71-2.78
As4 0.5564 0.4436 0.2500  2 Re 2.65, 4 As 2.71-2.78

Results
* energy relative to the elements: 0.46 eV per atom